! InOs2Br PBE optimized geometry; values from VASP
&SYSTEM
  ibrav = 0, nat = 4, ntyp = 3
/
ATOMIC_SPECIES
Os 190.23 Os.upf
Br 79.90 Br.upf
In 114.82 In.upf
ATOMIC_POSITIONS crystal
Os 0.000 0.108 0.973
Os 0.000 0.392 0.527
Br 0.500 0.250 0.250
In 0.500 0.750 0.750
CELL_PARAMETERS angstrom
-1.932 3.990 -1.462
-2.488 -0.482 1.972
2.540 2.505 3.482
! energy relative to the elements, uncorrected: 1.121 eV per atom
! offset from the most stable computed form: 0.653 eV per atom
! magnetization: 0.00 μB/cell